Material: TmZrS
Method: DFT, PBE
State: optimized geometry

Unit cell a=4.4324 b=4.4324 c=3.9435 alpha=90.00 beta=90.00 gamma=120.00
Atoms (fractional coordinates):
Tm1 0.0000 0.0000 0.0000
Zr1 0.6667 0.3333 0.5000
S1 0.3333 0.6667 0.5000

Crystal system ... hexagonal
Total energy ... -18.9 eV per formula unit
Polymorph energy (0 for the lowest one) ... 684 meV/atom
Calculated density ... 7.2 g cm⁻³
Formation energy from raw total energies ... -571.7 meV per atom

Material: Na2AsAuBr
Method: DFT, PBE
State: optimized geometry

Unit cell a=5.7225 b=5.7225 c=5.1743 alpha=90.00 beta=90.00 gamma=90.00
Atoms (fractional coordinates):
Na1 0.0000 0.5000 0.0000
Na2 0.5000 0.0000 0.0000
As1 0.0000 0.0000 0.5000
Au1 0.5000 0.5000 0.0000
Br1 0.5000 0.5000 0.5000

Crystal system ... tetragonal
Total energy ... -11.7 eV per formula unit
Calculated density ... 3.9 g cm⁻³
Formation energy from raw total energies ... 104.5 meV per atom

Material: Sm2Ho7Er2
Method: DFT, PBE
State: optimized geometry

Unit cell a=7.9901 b=7.9901 c=6.0473 alpha=106.29 beta=106.29 gamma=91.47
Atoms (fractional coordinates):
Sm1 0.0893 0.0893 0.3042
Sm2 0.9107 0.9107 0.6958
Ho1 0.0879 0.5625 0.3209
Ho2 0.2716 0.2716 0.9196
Ho3 0.4375 0.9121 0.6791
Ho4 0.5000 0.5000 0.5000
Ho5 0.5625 0.0879 0.3209
Ho6 0.7284 0.7284 0.0804
Ho7 0.9121 0.4375 0.6791
Er1 0.2852 0.7148 0.0000
Er2 0.7148 0.2852 0.0000

Crystal system ... monoclinic
Total energy ... -48.9 eV per formula unit
Polymorph energy (0 for the lowest one) ... 0 meV/atom
Calculated density ... 8.4 g cm⁻³

Material: LaHgPt2
Method: DFT, PBE
State: optimized geometry

Unit cell a=4.6833 b=4.6833 c=3.9261 alpha=90.10 beta=90.10 gamma=96.70
Atoms (fractional coordinates):
La1 0.0000 0.0000 0.0000
Hg1 0.5000 0.5000 0.0000
Pt1 0.0000 0.5000 0.5000
Pt2 0.5000 0.0000 0.5000

Crystal system ... monoclinic
Total energy ... -19.7 eV per formula unit
Calculated density ... 14.2 g cm⁻³

Material: InH2W
Method: DFT, PBE
State: optimized geometry

Unit cell a=4.9158 b=4.9158 c=4.9158 alpha=109.62 beta=109.62 gamma=109.18
Atoms (fractional coordinates):
In1 0.0000 0.0000 0.0000
In2 0.7500 0.2500 0.5000
H1 0.2163 0.6250 0.0913
H2 0.3750 0.4663 0.5913
H3 0.5337 0.1250 0.9087
H4 0.8750 0.7837 0.4087
W1 0.2500 0.7500 0.5000
W2 0.5000 0.5000 0.0000

Crystal system ... tetragonal
Total energy ... -20.6 eV per formula unit
Polymorph energy (0 for the lowest one) ... 0 meV/atom
Calculated density ... 10.9 g cm⁻³

Material: Nd3AlGa2
Method: DFT, PBE
State: optimized geometry

Unit cell a=12.2575 b=4.4336 c=11.7436 alpha=90.00 beta=90.00 gamma=90.00
Atoms (fractional coordinates):
Nd1 0.0598 0.2500 0.1192
Nd2 0.1316 0.7500 0.5738
Nd3 0.2022 0.2500 0.8043
Nd4 0.2978 0.7500 0.3043
Nd5 0.3684 0.2500 0.0738
Nd6 0.4402 0.7500 0.6192
Nd7 0.5598 0.2500 0.3808
Nd8 0.6316 0.7500 0.9262
Nd9 0.7022 0.2500 0.6957
Nd10 0.7978 0.7500 0.1957
Nd11 0.8684 0.2500 0.4262
Nd12 0.9402 0.7500 0.8808
Al1 0.1310 0.2500 0.3755
Al2 0.3690 0.7500 0.8755
Al3 0.6310 0.2500 0.1245
Al4 0.8690 0.7500 0.6245
Ga1 0.0247 0.7500 0.3223
Ga2 0.1921 0.7500 0.0009
Ga3 0.3079 0.2500 0.5009
Ga4 0.4753 0.2500 0.8223
Ga5 0.5247 0.7500 0.1777
Ga6 0.6921 0.7500 0.4991
Ga7 0.8079 0.2500 0.9991
Ga8 0.9753 0.2500 0.6777

Crystal system ... orthorhombic
Total energy ... -27.0 eV per formula unit
Polymorph energy (0 for the lowest one) ... 4 meV/atom
Calculated density ... 6.2 g cm⁻³

Material: K5Ga2S5
Method: DFT, PBE
State: optimized geometry

Unit cell a=7.4340 b=7.4340 c=11.0368 alpha=101.33 beta=101.33 gamma=33.88
Atoms (fractional coordinates):
K1 0.0000 0.0000 0.0000
K2 0.1492 0.1492 0.5848
K3 0.2748 0.2748 0.8710
K4 0.7252 0.7252 0.1290
K5 0.8508 0.8508 0.4152
Ga1 0.4658 0.4658 0.7051
Ga2 0.5342 0.5342 0.2949
S1 0.1211 0.1211 0.2868
S2 0.3917 0.3917 0.1500
S3 0.5000 0.5000 0.5000
S4 0.6083 0.6083 0.8500
S5 0.8789 0.8789 0.7132

Crystal system ... monoclinic
Total energy ... -43.6 eV per formula unit
Calculated density ... 2.5 g cm⁻³
Formation energy from raw total energies ... -951.3 meV per atom

Material: Sb2IrPb
Method: DFT, PBE
State: optimized geometry

Unit cell a=7.5461 b=7.5461 c=7.5461 alpha=152.66 beta=148.14 gamma=42.47
Atoms (fractional coordinates):
Sb1 0.0000 0.0000 0.0000
Sb2 0.6799 0.1799 0.5000
Ir1 0.1414 0.6414 0.5000
Pb1 0.3494 0.3494 0.0000

Crystal system ... orthorhombic
Total energy ... -20.4 eV per formula unit
Calculated density ... 10.3 g cm⁻³
Formation energy from raw total energies ... 112.6 meV per atom

Material: NaPaGaCl6
Method: DFT, PBE
State: optimized geometry

Unit cell a=7.1495 b=7.1495 c=12.9620 alpha=90.00 beta=90.00 gamma=120.00
Atoms (fractional coordinates):
Na1 0.3333 0.6667 0.2500
Na2 0.6667 0.3333 0.7500
Pa1 0.3333 0.6667 0.7500
Pa2 0.6667 0.3333 0.2500
Ga1 0.0000 0.0000 0.0000
Ga2 0.0000 0.0000 0.5000
Cl1 0.0205 0.3658 0.6338
Cl2 0.0205 0.6547 0.8662
Cl3 0.3453 0.3658 0.8662
Cl4 0.3453 0.9795 0.6338
Cl5 0.3658 0.0205 0.1338
Cl6 0.3658 0.3453 0.3662
Cl7 0.6342 0.6547 0.6338
Cl8 0.6342 0.9795 0.8662
Cl9 0.6547 0.0205 0.3662
Cl10 0.6547 0.6342 0.1338
Cl11 0.9795 0.3453 0.1338
Cl12 0.9795 0.6342 0.3662

Crystal system ... trigonal
Total energy ... -39.6 eV per formula unit
Calculated density ... 3.1 g cm⁻³
Formation energy from raw total energies ... -1630.6 meV per atom

Material: KLiAu4
Method: DFT, PBE
State: optimized geometry

Unit cell a=5.6731 b=5.6731 c=5.6731 alpha=60.00 beta=60.00 gamma=60.00
Atoms (fractional coordinates):
K1 0.0000 0.0000 0.0000
Li1 0.2500 0.2500 0.2500
Au1 0.1262 0.6246 0.6246
Au2 0.6246 0.1262 0.6246
Au3 0.6246 0.6246 0.1262
Au4 0.6246 0.6246 0.6246

Crystal system ... cubic
Total energy ... -17.9 eV per formula unit
Calculated density ... 10.7 g cm⁻³

Material: ErInAgSn
Method: DFT, PBE
State: optimized geometry

Unit cell a=5.1542 b=5.1542 c=5.1542 alpha=60.00 beta=60.00 gamma=60.00
Atoms (fractional coordinates):
Er1 0.0000 0.0000 0.0000
In1 0.5000 0.5000 0.5000
Ag1 0.7500 0.7500 0.7500
Sn1 0.2500 0.2500 0.2500

Crystal system ... cubic
Total energy ... -14.9 eV per formula unit
Polymorph energy (0 for the lowest one) ... 216 meV/atom
Calculated density ... 8.7 g cm⁻³

Material: Tm3Sn2Hg
Method: DFT, PBE
State: optimized geometry

Unit cell a=12.1930 b=4.6131 c=11.3254 alpha=90.00 beta=90.00 gamma=90.00
Atoms (fractional coordinates):
Tm1 0.0335 0.2500 0.1232
Tm2 0.1389 0.7500 0.5767
Tm3 0.1996 0.2500 0.8169
Tm4 0.3004 0.7500 0.3169
Tm5 0.3611 0.2500 0.0767
Tm6 0.4665 0.7500 0.6232
Tm7 0.5335 0.2500 0.3768
Tm8 0.6389 0.7500 0.9233
Tm9 0.6996 0.2500 0.6831
Tm10 0.8004 0.7500 0.1831
Tm11 0.8611 0.2500 0.4233
Tm12 0.9665 0.7500 0.8768
Sn1 0.0081 0.7500 0.3274
Sn2 0.1813 0.7500 0.0348
Sn3 0.3187 0.2500 0.5348
Sn4 0.4919 0.2500 0.8274
Sn5 0.5081 0.7500 0.1726
Sn6 0.6813 0.7500 0.4652
Sn7 0.8187 0.2500 0.9652
Sn8 0.9919 0.2500 0.6726
Hg1 0.1556 0.2500 0.3471
Hg2 0.3444 0.7500 0.8471
Hg3 0.6556 0.2500 0.1529
Hg4 0.8444 0.7500 0.6529

Crystal system ... orthorhombic
Total energy ... -24.9 eV per formula unit
Polymorph energy (0 for the lowest one) ... 0 meV/atom
Calculated density ... 9.9 g cm⁻³